16
Lattice="-3.3643 1.8252 1.4916 1.6424 -4.8766 4.0151 6.0541 6.6163 5.5594" Properties=species:S:1:pos:R:3 comment="Zn5GaIr2 PBE-GGA relaxed" de_polymorph_mev_per_atom=117 formation_enthalpy_0k_ev_per_atom=-0.09 pbc="T T T"
Zn 6.0107 4.1095 8.5288
Zn 1.3116 2.7230 5.2830
Zn 3.0206 0.8418 5.7831
Zn 2.2225 1.6748 2.9636
Zn 3.5430 3.4563 9.4186
Zn 4.5182 2.7317 6.8484
Zn 2.1097 1.8900 8.1025
Zn -0.1860 0.8331 4.2177
Zn 0.7893 0.1085 1.6475
Zn -1.6785 -0.5447 2.5373
Ir 5.3760 5.0158 5.9883
Ir 3.6877 3.1707 4.4379
Ir 0.6445 0.3940 6.6281
Ir -1.0438 -1.4510 5.0778
Ga 2.8516 5.1986 5.7274
Ga 1.4806 -1.6338 5.3387


4
Lattice="-1.7877 -3.0127 -0.3673 0.0629 -2.4096 2.5684 -5.5864 0.8477 3.3474" Properties=species:S:1:pos:R:3 comment="HoSeO2 PBE-GGA relaxed" e_form_raw_ev_per_atom=-2.134 pbc="T T T"
O -3.4064 -4.5313 3.0782
O -3.9048 -0.0432 2.4704
Se 0.0000 0.0000 0.0000
Ho -3.6556 -2.2873 2.7743


18
Lattice="-3.9851 1.5153 3.6694 -2.4480 -3.8798 3.2552 7.2401 1.1649 11.6936" Properties=species:S:1:pos:R:3 comment="Ca2Al7 PBE-GGA relaxed" formation_enthalpy_0k_ev_per_atom=-0.19 pbc="T T T"
Al -1.2240 -1.9399 1.6276
Al -2.7290 -1.2517 6.1762
Al -3.2166 -1.1822 3.4623
Al -1.3465 -2.4983 8.1926
Al 1.4145 -0.7313 14.7730
Al -0.6075 -0.4683 3.8452
Al 2.1534 1.2987 10.4256
Al 3.5360 0.0521 12.4419
Al -1.9926 0.7577 1.8347
Al 2.9322 -1.4347 10.2157
Al -2.1252 0.2351 8.4025
Al 0.4035 -0.5998 9.3091
Al -0.1062 -0.5327 6.5434
Al 0.9132 -0.6669 12.0748
Ca -4.9629 -2.0585 8.3949
Ca 3.0143 0.2854 7.4673
Ca 5.7699 0.8589 10.2232
Ca -2.2073 -1.4850 11.1508